Density functional theory data (PBE with a Hubbard U) for a geometry-optimized Sr7Mn4O15 structure.

Cell: 6.8873 9.7766 10.5730 Å, 90.00 91.71 90.00°
Last column: nearest neighbours and their distance in Å.
Positions (direct):
Sr (0.1804, 0.7563, 0.3292)  6 O 2.51-2.80
Sr (0.8204, 0.2568, 0.1707)  5 O 2.51-2.80
Sr (0.8204, 0.7432, 0.6707)  5 O 2.51-2.80
Sr (0.1804, 0.2437, 0.8292)  6 O 2.51-2.80
Sr (0.0010, 0.9364, 0.9651)  7 O 2.43-2.68
Sr (0.9993, 0.4361, 0.5339)  7 O 2.43-2.68
Sr (0.9993, 0.5639, 0.0339)  7 O 2.43-2.68
Sr (0.0010, 0.0636, 0.4651)  7 O 2.43-2.68
Sr (0.4997, 0.7497, 0.9992)  8 O 2.62-2.86
Sr (0.4997, 0.2503, 0.4992)  8 O 2.62-2.86
Sr (0.3537, 0.8991, 0.6949)  8 O 2.46-2.74
Sr (0.6466, 0.3987, 0.8040)  8 O 2.46-2.75
Sr (0.6466, 0.6013, 0.3040)  8 O 2.46-2.75
Sr (0.3537, 0.1009, 0.1949)  8 O 2.46-2.74
Mn (0.7818, 0.9190, 0.2190)  5 O 1.86-2.03
Mn (0.2183, 0.4190, 0.2798)  5 O 1.86-2.03
Mn (0.2183, 0.5810, 0.7798)  5 O 1.86-2.03
Mn (0.7818, 0.0810, 0.7190)  5 O 1.86-2.03
Mn (0.5797, 0.9174, 0.4259)  6 O 1.86-2.04
Mn (0.4208, 0.4172, 0.0732)  6 O 1.86-2.04
Mn (0.4208, 0.5828, 0.5732)  6 O 1.86-2.04
Mn (0.5797, 0.0826, 0.9259)  6 O 1.86-2.04
O (0.6934, 0.9657, 0.5847)  2 Mn 1.89-1.90
O (0.3080, 0.4670, 0.9145)  2 Mn 1.89-1.90
O (0.3080, 0.5330, 0.4145)  2 Mn 1.89-1.90
O (0.6934, 0.0343, 0.0847)  2 Mn 1.89-1.90
O (0.3411, 0.9981, 0.4558)  1 Mn 1.86
O (0.6602, 0.4966, 0.0436)  1 Mn 1.86
O (0.6602, 0.5034, 0.5436)  1 Mn 1.86
O (0.3411, 0.0019, 0.9558)  1 Mn 1.86
O (0.8392, 0.8313, 0.3811)  2 Mn 1.95-2.04
O (0.1606, 0.3318, 0.1175)  2 Mn 1.95-2.04
O (0.1606, 0.6682, 0.6175)  2 Mn 1.95-2.04
O (0.8392, 0.1687, 0.8811)  2 Mn 1.95-2.04
O (0.6825, 0.9240, 0.8388)  2 Mn 1.95-2.12
O (0.3184, 0.4240, 0.6603)  2 Mn 1.95-2.12
O (0.3184, 0.5760, 0.1603)  2 Mn 1.95-2.12
O (0.6825, 0.0760, 0.3388)  2 Mn 1.95-2.12
O (0.0331, 0.9925, 0.2118)  1 Mn 1.88
O (0.9677, 0.4935, 0.2872)  1 Mn 1.88
O (0.9677, 0.5065, 0.7872)  1 Mn 1.88
O (0.0331, 0.0075, 0.7118)  1 Mn 1.88
O (0.5084, 0.8535, 0.2524)  2 Mn 1.99-2.03
O (0.4916, 0.3528, 0.2464)  2 Mn 1.98-2.03
O (0.4916, 0.6472, 0.7464)  2 Mn 1.98-2.03
O (0.5084, 0.1465, 0.7524)  2 Mn 1.99-2.03
O (0.8370, 0.7688, 0.1185)  1 Mn 1.86
O (0.1614, 0.2687, 0.3795)  1 Mn 1.86
O (0.1614, 0.7313, 0.8795)  1 Mn 1.86
O (0.8370, 0.2312, 0.6185)  1 Mn 1.86
O (0.4983, 0.7503, 0.4989)  2 Mn 1.90
O (0.4983, 0.2497, 0.9989)  2 Mn 1.90

Summary:
Final energy (eV/atom): -6.73